Entry one
Ta3IrF: optimized geometry, PBE.

Calculated values
* SG: No. 221

```
data_Ta3IrF
_chemical_formula_sum 'Ta3 Ir1 F1'
_symmetry_space_group_name_H-M 'P 1'
_symmetry_Int_Tables_number 1
_symmetry_space_group_name_Hall 'P 1'
_cell_length_a 4.2618
_cell_length_b 4.2618
_cell_length_c 4.2618
_cell_angle_alpha 90.00
_cell_angle_beta 90.00
_cell_angle_gamma 90.00
loop_
_atom_site_label
_atom_site_fract_x
_atom_site_fract_y
_atom_site_fract_z
Ta1 0.0000 0.0000 0.5000
Ta2 0.0000 0.5000 0.0000
Ta3 0.5000 0.0000 0.0000
Ir1 0.5000 0.5000 0.5000
F1 0.0000 0.0000 0.0000
```

=====

Entry two
Ta3IrF: optimized geometry, PBE.

Calculated values
* SG: No. 221

```
data_Ta3IrF
_chemical_formula_sum 'Ta3 Ir1 F1'
_symmetry_space_group_name_H-M 'P 1'
_symmetry_Int_Tables_number 1
_symmetry_space_group_name_Hall 'P 1'
_cell_length_a 4.8833
_cell_length_b 4.8833
_cell_length_c 4.8833
_cell_angle_alpha 90.00
_cell_angle_beta 90.00
_cell_angle_gamma 90.00
loop_
_atom_site_label
_atom_site_fract_x
_atom_site_fract_y
_atom_site_fract_z
Ta1 0.0000 0.0000 0.5000
Ta2 0.0000 0.5000 0.0000
Ta3 0.5000 0.0000 0.0000
Ir1 0.0000 0.0000 0.0000
F1 0.5000 0.5000 0.5000
```

=====

Which structure is the most stable? The one labeled entry one.

=====

Entry one
TaIr2F: optimized geometry, PBE.

Calculated values
* SG: No. 225

```
data_TaIr2F
_chemical_formula_sum 'Ta4 Ir8 F4'
_symmetry_space_group_name_H-M 'P 1'
_symmetry_Int_Tables_number 1
_symmetry_space_group_name_Hall 'P 1'
_cell_length_a 6.1798
_cell_length_b 6.1798
_cell_length_c 6.1798
_cell_angle_alpha 90.00
_cell_angle_beta 90.00
_cell_angle_gamma 90.00
loop_
_atom_site_label
_atom_site_fract_x
_atom_site_fract_y
_atom_site_fract_z
Ta1 0.0000 0.0000 0.0000
Ta2 0.0000 0.5000 0.5000
Ta3 0.5000 0.0000 0.5000
Ta4 0.5000 0.5000 0.0000
Ir1 0.2500 0.2500 0.2500
Ir2 0.2500 0.2500 0.7500
Ir3 0.2500 0.7500 0.2500
Ir4 0.2500 0.7500 0.7500
Ir5 0.7500 0.2500 0.2500
Ir6 0.7500 0.2500 0.7500
Ir7 0.7500 0.7500 0.2500
Ir8 0.7500 0.7500 0.7500
F1 0.0000 0.0000 0.5000
F2 0.0000 0.5000 0.0000
F3 0.5000 0.0000 0.0000
F4 0.5000 0.5000 0.5000
```

=====

Entry two
TaIr2F: optimized geometry, PBE.

Calculated values
* SG: No. 122

```
data_TaIr2F
_chemical_formula_sum 'Ta4 Ir8 F4'
_symmetry_space_group_name_H-M 'P 1'
_symmetry_Int_Tables_number 1
_symmetry_space_group_name_Hall 'P 1'
_cell_length_a 8.1496
_cell_length_b 8.1496
_cell_length_c 4.3057
_cell_angle_alpha 90.00
_cell_angle_beta 90.00
_cell_angle_gamma 90.00
loop_
_atom_site_label
_atom_site_fract_x
_atom_site_fract_y
_atom_site_fract_z
Ta1 0.0000 0.0000 0.0000
Ta2 0.0000 0.5000 0.2500
Ta3 0.5000 0.0000 0.7500
Ta4 0.5000 0.5000 0.5000
Ir1 0.1821 0.2500 0.1250
Ir2 0.2500 0.6821 0.3750
Ir3 0.2500 0.8179 0.8750
Ir4 0.3179 0.2500 0.6250
Ir5 0.6821 0.7500 0.6250
Ir6 0.7500 0.1821 0.8750
Ir7 0.7500 0.3179 0.3750
Ir8 0.8179 0.7500 0.1250
F1 0.0000 0.0000 0.5000
F2 0.0000 0.5000 0.7500
F3 0.5000 0.0000 0.2500
F4 0.5000 0.5000 0.0000
```

=====

Which structure is the most stable? The one labeled entry two.